Computed, not measured: a geometry-optimized MgMnBiO6 structure at the PBE+U level of DFT.

- Energy: -0.2195 Ha/atom
- SG: No. 163

abc: 5.284 5.284 8.818
angles: 90.00 90.00 120.00
Fractional positions:
Mg 0.000 0.000 0.000
Mg 0.000 0.000 0.500
Mn 0.333 0.667 0.250
Mn 0.667 0.333 0.750
Bi 0.333 0.667 0.750
Bi 0.667 0.333 0.250
O 0.032 0.362 0.128
O 0.032 0.669 0.372
O 0.331 0.362 0.372
O 0.331 0.968 0.128
O 0.362 0.032 0.628
O 0.362 0.331 0.872
O 0.638 0.669 0.128
O 0.638 0.968 0.372
O 0.669 0.032 0.872
O 0.669 0.638 0.628
O 0.968 0.331 0.628
O 0.968 0.638 0.872

***

Computed, not measured: a geometry-optimized MgMn2BiO6 structure at the PBE+U level of DFT.

- Energy: -0.2434 Ha/atom
- SG: No. 146

abc: 5.539 5.539 5.539
angles: 58.07 58.07 58.07
Fractional positions:
Mg 0.000 0.000 0.000
Mn 0.293 0.293 0.293
Mn 0.789 0.789 0.789
Bi 0.515 0.515 0.515
O 0.068 0.662 0.422
O 0.127 0.570 0.964
O 0.422 0.068 0.662
O 0.570 0.964 0.127
O 0.662 0.422 0.068
O 0.964 0.127 0.570

***

Computed, not measured: a geometry-optimized Mg6MnBiO8 structure at the PBE+U level of DFT.

- Energy: -0.2142 Ha/atom
- SG: No. 123

abc: 4.547 4.547 8.984
angles: 90.00 90.00 90.00
Fractional positions:
Mg 0.000 0.000 0.000
Mg 0.000 0.000 0.500
Mg 0.000 0.500 0.235
Mg 0.000 0.500 0.765
Mg 0.500 0.000 0.235
Mg 0.500 0.000 0.765
Mn 0.500 0.500 0.000
Bi 0.500 0.500 0.500
O 0.000 0.000 0.249
O 0.000 0.000 0.751
O 0.000 0.500 0.000
O 0.000 0.500 0.500
O 0.500 0.000 0.000
O 0.500 0.000 0.500
O 0.500 0.500 0.233
O 0.500 0.500 0.767

***

Computed, not measured: a geometry-optimized Mg6MnBiO8 structure at the PBE+U level of DFT.

- Energy: -0.2149 Ha/atom
- SG: No. 123

abc: 4.523 4.523 9.034
angles: 90.00 90.00 90.00
Fractional positions:
Mg 0.000 0.000 0.000
Mg 0.000 0.500 0.230
Mg 0.000 0.500 0.770
Mg 0.500 0.000 0.230
Mg 0.500 0.000 0.770
Mg 0.500 0.500 0.000
Mn 0.000 0.000 0.500
Bi 0.500 0.500 0.500
O 0.000 0.000 0.240
O 0.000 0.000 0.760
O 0.000 0.500 0.000
O 0.000 0.500 0.500
O 0.500 0.000 0.000
O 0.500 0.000 0.500
O 0.500 0.500 0.223
O 0.500 0.500 0.777